Density functional theory data (GGA+U) for Li8CoO6 after structural relaxation.

abc: 5.5534 5.5534 10.8893
angles: 90.00 90.00 120.00
Fractional positions:
Li 0.0000 0.3123 0.0000
Li 0.0000 0.3891 0.3594
Li 0.0000 0.6109 0.8594
Li 0.0000 0.6877 0.5000
Li 0.3123 0.0000 0.0000
Li 0.3123 0.3123 0.5000
Li 0.3333 0.6667 0.1390
Li 0.3333 0.6667 0.6390
Li 0.3891 0.0000 0.3594
Li 0.3891 0.3891 0.8594
Li 0.6109 0.0000 0.8594
Li 0.6109 0.6109 0.3594
Li 0.6667 0.3333 0.1390
Li 0.6667 0.3333 0.6390
Li 0.6877 0.0000 0.5000
Li 0.6877 0.6877 0.0000
Co 0.0000 0.0000 0.2284
Co 0.0000 0.0000 0.7284
O 0.0000 0.0000 0.3981
O 0.0000 0.0000 0.8981
O 0.0000 0.3095 0.1814
O 0.0000 0.6905 0.6814
O 0.3095 0.0000 0.1814
O 0.3095 0.3095 0.6814
O 0.3333 0.6667 0.4489
O 0.3333 0.6667 0.9489
O 0.6667 0.3333 0.4489
O 0.6667 0.3333 0.9489
O 0.6905 0.0000 0.6814
O 0.6905 0.6905 0.1814

Values from the calculation:
Total DFT energy (no corrections) (eV for the cell shown): -150.80
Total moment (μB per atom): 0.33